#one
## InSn4Cl8 (GGA-PBE)

Data for InSn4Cl8 after structural relaxation.

Values from the calculation:
Its density of states at the Fermi level is 0.447 states/eV per atom.

```
data_InSn4Cl8
_space_group_name_H-M_alt 'F -4 3 m'
_space_group_IT_number 216
_space_group_name_Hall 'F -4 2 3'
_cell_length_a 12.5380
_cell_length_b 12.5380
_cell_length_c 12.5380
_cell_angle_alpha 90.00
_cell_angle_beta 90.00
_cell_angle_gamma 90.00
loop_
_atom_site_label
_atom_site_type_symbol
_atom_site_fract_x
_atom_site_fract_y
_atom_site_fract_z
In1 In 0.0000 0.0000 0.0000
Sn1 Sn 0.1222 0.1222 0.6222
Cl1 Cl 0.1069 0.1069 0.3931
Cl2 Cl 0.1412 0.1412 0.8588
```

#two
## InSn4Cl8 (GGA-PBE)

Data for InSn4Cl8 after structural relaxation.

Values from the calculation:
Its density of states at the Fermi level is 0.083 states/eV per atom.

```
data_InSn4Cl8
_space_group_name_H-M_alt 'C 1 m 1'
_space_group_IT_number 8
_space_group_name_Hall 'C -2y'
_cell_length_a 19.3159
_cell_length_b 4.5229
_cell_length_c 13.0177
_cell_angle_alpha 90.00
_cell_angle_beta 123.65
_cell_angle_gamma 90.00
loop_
_atom_site_label
_atom_site_type_symbol
_atom_site_fract_x
_atom_site_fract_y
_atom_site_fract_z
In1 In 0.0000 0.0000 0.0000
Sn1 Sn 0.0161 0.0000 0.7347
Sn2 Sn 0.2761 0.0000 0.5827
Sn3 Sn 0.3192 0.5000 0.9681
Sn4 Sn 0.4792 0.0000 0.3428
Cl1 Cl 0.0437 0.5000 0.6461
Cl2 Cl 0.0847 0.0000 0.4288
Cl3 Cl 0.2331 0.0000 0.9241
Cl4 Cl 0.2493 0.5000 0.6816
Cl5 Cl 0.3590 0.5000 0.2011
Cl6 Cl 0.3644 0.5000 0.5338
Cl7 Cl 0.4244 0.0000 0.7964
Cl8 Cl 0.4973 0.0000 0.1602
```

Top of the stability list: #two, leading by 28 meV per atom.

#one
## InSnTeCl (GGA-PBE)

Data for InSnTeCl after structural relaxation.

```
data_InSnTeCl
_space_group_name_H-M_alt 'R -3 m'
_space_group_IT_number 166
_space_group_name_Hall '-R 3 2"'
_cell_length_a 5.4211
_cell_length_b 5.4211
_cell_length_c 34.8646
_cell_angle_alpha 90.00
_cell_angle_beta 90.00
_cell_angle_gamma 120.00
loop_
_atom_site_label
_atom_site_type_symbol
_atom_site_fract_x
_atom_site_fract_y
_atom_site_fract_z
In1 In 0.0000 0.0000 0.1177
Sn1 Sn 0.0000 0.0000 0.2935
Te1 Te 0.0000 0.0000 0.3812
Cl1 Cl 0.0000 0.0000 0.2004
```

#two
## InSnTeCl (GGA-PBE)

Data for InSnTeCl after structural relaxation.

Values from the calculation:
Its density of states at the Fermi level is 0.441 states/eV per atom.

```
data_InSnTeCl
_space_group_name_H-M_alt 'F -4 3 m'
_space_group_IT_number 216
_space_group_name_Hall 'F -4 2 3'
_cell_length_a 7.6762
_cell_length_b 7.6762
_cell_length_c 7.6762
_cell_angle_alpha 90.00
_cell_angle_beta 90.00
_cell_angle_gamma 90.00
loop_
_atom_site_label
_atom_site_type_symbol
_atom_site_fract_x
_atom_site_fract_y
_atom_site_fract_z
In1 In 0.0000 0.0000 0.0000
Sn1 Sn 0.0000 0.0000 0.5000
Te1 Te 0.2500 0.2500 0.2500
Cl1 Cl 0.2500 0.2500 0.7500
```

Top of the stability list: #one, leading by 92 meV per atom.

#one
## SrInCl2 (GGA-PBE)

Data for SrInCl2 after structural relaxation.

Values from the calculation:
Its density of states at the Fermi level is 0.234 states/eV per atom.

```
data_SrInCl2
_space_group_name_H-M_alt 'I -4 m 2'
_space_group_IT_number 119
_space_group_name_Hall 'I -4 -2'
_cell_length_a 4.3377
_cell_length_b 4.3377
_cell_length_c 12.4113
_cell_angle_alpha 90.00
_cell_angle_beta 90.00
_cell_angle_gamma 90.00
loop_
_atom_site_label
_atom_site_type_symbol
_atom_site_fract_x
_atom_site_fract_y
_atom_site_fract_z
Sr1 Sr 0.0000 0.0000 0.0000
In1 In 0.0000 0.5000 0.2500
Cl1 Cl 0.0000 0.0000 0.5000
Cl2 Cl 0.0000 0.5000 0.7500
```

#two
## SrInCl2 (GGA-PBE)

Data for SrInCl2 after structural relaxation.

Values from the calculation:
Its density of states at the Fermi level is 0.235 states/eV per atom.

```
data_SrInCl2
_space_group_name_H-M_alt 'A m m 2'
_space_group_IT_number 38
_space_group_name_Hall 'A 2 -2'
_cell_length_a 5.7965
_cell_length_b 4.8314
_cell_length_c 9.6407
_cell_angle_alpha 90.00
_cell_angle_beta 90.00
_cell_angle_gamma 90.00
loop_
_atom_site_label
_atom_site_type_symbol
_atom_site_fract_x
_atom_site_fract_y
_atom_site_fract_z
Sr1 Sr 0.0000 0.0000 0.0000
In1 In 0.5000 0.0000 0.6280
Cl1 Cl 0.0000 0.0000 0.3100
Cl2 Cl 0.5000 0.0000 0.9427
```

Top of the stability list: #two, leading by 106 meV per atom.

#one
## SrInCl2 (GGA-PBE)

Data for SrInCl2 after structural relaxation.

Values from the calculation:
Its density of states at the Fermi level is 0.571 states/eV per atom.

```
data_SrInCl2
_space_group_name_H-M_alt 'F m -3 m'
_space_group_IT_number 225
_space_group_name_Hall '-F 4 2 3'
_cell_length_a 7.6401
_cell_length_b 7.6401
_cell_length_c 7.6401
_cell_angle_alpha 90.00
_cell_angle_beta 90.00
_cell_angle_gamma 90.00
loop_
_atom_site_label
_atom_site_type_symbol
_atom_site_fract_x
_atom_site_fract_y
_atom_site_fract_z
Sr1 Sr 0.0000 0.0000 0.0000
In1 In 0.0000 0.0000 0.5000
Cl1 Cl 0.2500 0.2500 0.2500
```

#two
## SrInCl2 (GGA-PBE)

Data for SrInCl2 after structural relaxation.

Values from the calculation:
Its density of states at the Fermi level is 0.559 states/eV per atom.

```
data_SrInCl2
_space_group_name_H-M_alt 'I 4/m m m'
_space_group_IT_number 139
_space_group_name_Hall '-I 4 2'
_cell_length_a 5.1106
_cell_length_b 5.1106
_cell_length_c 8.5564
_cell_angle_alpha 90.00
_cell_angle_beta 90.00
_cell_angle_gamma 90.00
loop_
_atom_site_label
_atom_site_type_symbol
_atom_site_fract_x
_atom_site_fract_y
_atom_site_fract_z
Sr1 Sr 0.0000 0.0000 0.0000
In1 In 0.0000 0.0000 0.5000
Cl1 Cl 0.0000 0.5000 0.2500
```

#three
## SrInCl2 (GGA-PBE)

Data for SrInCl2 after structural relaxation.

Values from the calculation:
Its density of states at the Fermi level is 0.374 states/eV per atom.

```
data_SrInCl2
_space_group_name_H-M_alt 'P 4/m m m'
_space_group_IT_number 123
_space_group_name_Hall '-P 4 2'
_cell_length_a 5.0183
_cell_length_b 5.0183
_cell_length_c 4.3669
_cell_angle_alpha 90.00
_cell_angle_beta 90.00
_cell_angle_gamma 90.00
loop_
_atom_site_label
_atom_site_type_symbol
_atom_site_fract_x
_atom_site_fract_y
_atom_site_fract_z
Sr1 Sr 0.0000 0.0000 0.0000
In1 In 0.5000 0.5000 0.0000
Cl1 Cl 0.0000 0.5000 0.5000
```

Top of the stability list: #two, leading by 7 meV per atom.

#one
## SrInCl2 (GGA-PBE)

Data for SrInCl2 after structural relaxation.

Values from the calculation:
Its density of states at the Fermi level is 0.490 states/eV per atom.

```
data_SrInCl2
_space_group_name_H-M_alt 'I -4 2 d'
_space_group_IT_number 122
_space_group_name_Hall 'I -4 2bw'
_cell_length_a 7.5178
_cell_length_b 7.5178
_cell_length_c 13.1631
_cell_angle_alpha 90.00
_cell_angle_beta 90.00
_cell_angle_gamma 90.00
loop_
_atom_site_label
_atom_site_type_symbol
_atom_site_fract_x
_atom_site_fract_y
_atom_site_fract_z
Sr1 Sr 0.0000 0.0000 0.0000
In1 In 0.0000 0.0000 0.5000
Cl1 Cl 0.1639 0.2500 0.1250
```

#two
## SrInCl2 (GGA-PBE)

Data for SrInCl2 after structural relaxation.

Values from the calculation:
Its density of states at the Fermi level is 0.271 states/eV per atom.

```
data_SrInCl2
_space_group_name_H-M_alt 'R -3 m'
_space_group_IT_number 166
_space_group_name_Hall '-R 3 2"'
_cell_length_a 4.2584
_cell_length_b 4.2584
_cell_length_c 30.2847
_cell_angle_alpha 90.00
_cell_angle_beta 90.00
_cell_angle_gamma 120.00
loop_
_atom_site_label
_atom_site_type_symbol
_atom_site_fract_x
_atom_site_fract_y
_atom_site_fract_z
Sr1 Sr 0.0000 0.0000 0.0000
In1 In 0.0000 0.0000 0.5000
Cl1 Cl 0.0000 0.0000 0.3831
```

#three
## SrInCl2 (GGA-PBE)

Data for SrInCl2 after structural relaxation.

Values from the calculation:
Its density of states at the Fermi level is 0.402 states/eV per atom.

```
data_SrInCl2
_space_group_name_H-M_alt 'P m m m'
_space_group_IT_number 47
_space_group_name_Hall '-P 2 2'
_cell_length_a 4.1078
_cell_length_b 4.5303
_cell_length_c 6.2388
_cell_angle_alpha 90.00
_cell_angle_beta 90.00
_cell_angle_gamma 90.00
loop_
_atom_site_label
_atom_site_type_symbol
_atom_site_fract_x
_atom_site_fract_y
_atom_site_fract_z
Sr1 Sr 0.0000 0.0000 0.0000
In1 In 0.5000 0.0000 0.5000
Cl1 Cl 0.0000 0.5000 0.5000
Cl2 Cl 0.5000 0.5000 0.0000
```

Top of the stability list: #two, leading by 247 meV per atom.

#one
## SrInCl2 (GGA-PBE)

Data for SrInCl2 after structural relaxation.

Values from the calculation:
Its density of states at the Fermi level is 0.429 states/eV per atom.

```
data_SrInCl2
_space_group_name_H-M_alt 'P 4/m m m'
_space_group_IT_number 123
_space_group_name_Hall '-P 4 2'
_cell_length_a 3.5968
_cell_length_b 3.5968
_cell_length_c 11.2190
_cell_angle_alpha 90.00
_cell_angle_beta 90.00
_cell_angle_gamma 90.00
loop_
_atom_site_label
_atom_site_type_symbol
_atom_site_fract_x
_atom_site_fract_y
_atom_site_fract_z
Sr1 Sr 0.0000 0.0000 0.0000
In1 In 0.0000 0.0000 0.5000
Cl1 Cl 0.5000 0.5000 0.1449
```

#two
## SrInCl2 (GGA-PBE)

Data for SrInCl2 after structural relaxation.

Values from the calculation:
Its density of states at the Fermi level is 0.775 states/eV per atom.

```
data_SrInCl2
_space_group_name_H-M_alt 'F -4 3 m'
_space_group_IT_number 216
_space_group_name_Hall 'F -4 2 3'
_cell_length_a 7.7319
_cell_length_b 7.7319
_cell_length_c 7.7319
_cell_angle_alpha 90.00
_cell_angle_beta 90.00
_cell_angle_gamma 90.00
loop_
_atom_site_label
_atom_site_type_symbol
_atom_site_fract_x
_atom_site_fract_y
_atom_site_fract_z
Sr1 Sr 0.0000 0.0000 0.0000
In1 In 0.2500 0.2500 0.2500
Cl1 Cl 0.0000 0.0000 0.5000
Cl2 Cl 0.2500 0.2500 0.7500
```

#three
## SrInCl2 (GGA-PBE)

Data for SrInCl2 after structural relaxation.

Values from the calculation:
Its density of states at the Fermi level is 0.471 states/eV per atom.

```
data_SrInCl2
_space_group_name_H-M_alt 'I m m m'
_space_group_IT_number 71
_space_group_name_Hall '-I 2 2'
_cell_length_a 4.0677
_cell_length_b 6.7054
_cell_length_c 9.8946
_cell_angle_alpha 90.00
_cell_angle_beta 90.00
_cell_angle_gamma 90.00
loop_
_atom_site_label
_atom_site_type_symbol
_atom_site_fract_x
_atom_site_fract_y
_atom_site_fract_z
Sr1 Sr 0.0000 0.0000 0.0000
In1 In 0.0000 0.0000 0.5000
Cl1 Cl 0.0000 0.5000 0.3004
```

#four
## SrInCl2 (GGA-PBE)

Data for SrInCl2 after structural relaxation.

Values from the calculation:
Its density of states at the Fermi level is 0.447 states/eV per atom.

```
data_SrInCl2
_space_group_name_H-M_alt 'C 1 2/m 1'
_space_group_IT_number 12
_space_group_name_Hall '-C 2y'
_cell_length_a 7.3678
_cell_length_b 8.5242
_cell_length_c 5.6144
_cell_angle_alpha 90.00
_cell_angle_beta 130.37
_cell_angle_gamma 90.00
loop_
_atom_site_label
_atom_site_type_symbol
_atom_site_fract_x
_atom_site_fract_y
_atom_site_fract_z
Sr1 Sr 0.0000 0.0000 0.0000
In1 In 0.0000 0.5000 0.0000
Cl1 Cl 0.2500 0.2500 0.5000
```

Top of the stability list: #one, leading by 92 meV per atom.